Density functional theory data (PBE) for crystalline Pm3CuB2Pt9 at its relaxed geometry.

Output
energy of formation from the pure elements = -0.773 eV/atom
density of states at the Fermi level = 0.330 states/eV/atom
mass density = 14.12 g/cm3
E_tot = -97.7 eV per formula unit

a b c (Å): 5.7727 5.7727 9.2739
angles (deg): 90.00 90.00 120.00
Space group P-3m1 (No. 164)
One atom of each set of equivalent atoms:
Pm  0.0000  0.0000  0.0000
Pm  0.3333  0.6667  0.6012
Cu  0.0000  0.0000  0.5000
B  0.3333  0.6667  0.1513
Pt  0.0000  0.5000  0.0000
Pt  0.1644  0.3289  0.2880